The following is a DFT calculation (PBE) of a geometry-optimized La2PmAl9 structure.

The structure in POSCAR format:
```
La2PmAl9
1.0
-2.3291 -5.1752 -0.5734
1.1507 -3.1502 -4.6139
6.6127 -6.3954 2.4898
La Pm Al
2 1 9
Direct
0.8584 0.8584 0.4249 La
0.1416 0.1416 0.5751 La
0.0000 0.0000 0.0000 Pm
0.6650 0.6650 0.0050 Al
0.3350 0.3350 0.9950 Al
0.5000 0.5000 0.5000 Al
0.4156 0.4156 0.2437 Al
0.9251 0.4156 0.2437 Al
0.4156 0.9251 0.2437 Al
0.5844 0.5844 0.7563 Al
0.5844 0.0749 0.7563 Al
0.0749 0.5844 0.7563 Al
```

Summary:
DFT total energy   -52.80 eV per cell
Formation energy   -376 meV/atom
Space group   R-3m (166)

***

The following is a DFT calculation (PBE) of a geometry-optimized Rb2BaFeI6 structure.

The structure in POSCAR format:
```
Rb2BaFeI6
1.0
8.5218 0.0000 0.0000
0.0000 8.5218 0.0000
4.2609 4.2609 6.0256
I Ba Rb Fe
6 1 2 1
Direct
0.2781 0.2781 0.4438 I
0.7219 0.7219 0.5562 I
0.2781 0.2781 0.0000 I
0.7219 0.7219 0.0000 I
0.7219 0.2781 0.0000 I
0.2781 0.7219 0.0000 I
0.0000 0.0000 0.0000 Ba
0.7500 0.2500 0.5000 Rb
0.2500 0.7500 0.5000 Rb
0.5000 0.5000 0.0000 Fe
```

Summary:
Formation energy without anion corrections   -953 meV per atom
DFT total energy   -31.15 eV per cell
Space group   Fm-3m (225)

***

The following is a DFT calculation (PBE) of a geometry-optimized YHg2Ir structure.

The structure in POSCAR format:
```
YHg2Ir
1.0
-3.6904 3.4936 1.2107
-3.8183 -0.3443 3.5485
0.6842 2.2939 3.8032
Hg Ir Y
2 1 1
Direct
0.0001 0.0001 0.0001 Hg
0.7500 0.7500 0.7501 Hg
0.4998 0.4998 0.4998 Ir
0.2501 0.2501 0.2500 Y
```

Summary:
DFT total energy   -16.58 eV per cell
Formation energy   -163 meV/atom
Space group   I-4m2 (119)

***

The following is a DFT calculation (PBE) of a geometry-optimized Pa2NiAs structure.

The structure in POSCAR format:
```
Pa2NiAs
1.0
-0.1662 2.1418 -3.1010
2.7604 -4.1459 -3.0114
-8.0553 -1.0394 -0.2862
Pa Ni As
4 2 2
Direct
0.7500 0.2168 0.4025 Pa
0.2500 0.7832 0.5975 Pa
0.2500 0.7874 0.0524 Pa
0.7500 0.2126 0.9476 Pa
0.2500 0.3712 0.2154 Ni
0.7500 0.6288 0.7846 Ni
0.7500 0.6736 0.2981 As
0.2500 0.3264 0.7019 As
```

Summary:
DFT total energy   -63.69 eV per cell
Formation energy   -605 meV/atom
Space group   P2_1/m (11)

***

The following is a DFT calculation (PBE) of a geometry-optimized LaMgZn2 structure.

The structure in POSCAR format:
```
LaMgZn2
1.0
-0.1884 -3.2883 -3.7367
0.2756 -4.8798 0.9604
-4.0201 -2.8834 -0.5798
La Mg Zn
1 1 2
Direct
0.5000 0.5000 0.5000 La
0.7500 0.7500 0.7500 Mg
0.0000 0.0000 0.0000 Zn
0.2500 0.2500 0.2500 Zn
```

Summary:
DFT total energy   -9.73 eV per cell
Formation energy   -165 meV/atom
Space group   F-43m (216)

***

The following is a DFT calculation (PBE) of a geometry-optimized BaAl9Pt2 structure.

The structure in POSCAR format:
```
BaAl9Pt2
1.0
6.7803 0.0000 3.1215
3.3901 7.6213 1.5607
0.2030 0.0000 8.4836
Ba Al Pt
2 18 4
Direct
0.5000 0.0000 0.0000 Ba
0.2500 0.5000 0.5000 Ba
0.7500 0.5000 0.5000 Al
0.0000 0.0000 0.0000 Al
0.0149 0.9200 0.6740 Al
0.6089 0.0800 0.3260 Al
0.6849 0.1740 0.5800 Al
0.4390 0.8260 0.4200 Al
0.7351 0.8260 0.5800 Al
0.1411 0.1740 0.4200 Al
0.0651 0.9200 0.3260 Al
0.3110 0.0800 0.6740 Al
0.7351 0.5800 0.8260 Al
0.1411 0.4200 0.1740 Al
0.0651 0.3260 0.9200 Al
0.3110 0.6740 0.0800 Al
0.0149 0.6740 0.9200 Al
0.6089 0.3260 0.0800 Al
0.6849 0.5800 0.1740 Al
0.4390 0.4200 0.8260 Al
0.8750 0.2500 0.7500 Pt
0.8750 0.7500 0.2500 Pt
0.8750 0.2500 0.2500 Pt
0.3750 0.7500 0.7500 Pt
```

Summary:
DFT total energy   -107.66 eV per cell
Formation energy   -512 meV/atom
Space group   I4_1/amd (141)

***

The following is a DFT calculation (PBE) of a geometry-optimized ZrTe2 structure.

The structure in POSCAR format:
```
ZrTe2
1.0
3.7282 1.5325 4.6160
-2.1484 0.2034 5.7357
1.7344 -4.2370 4.0738
Zr Te
2 4
Direct
0.5000 0.5000 0.5000 Zr
0.7500 0.7500 0.7500 Zr
0.6250 0.1250 0.1250 Te
0.1250 0.6250 0.1250 Te
0.1250 0.1250 0.6250 Te
0.1250 0.1250 0.1250 Te
```

Summary:
Formation energy without anion corrections   628 meV per atom
DFT total energy   -25.89 eV per cell
Space group   Fd-3m (227)

***

The following is a DFT calculation (PBE) of a geometry-optimized Zr2TaMn structure.

The structure in POSCAR format:
```
Zr2TaMn
1.0
-2.3156 1.8958 0.2012
-0.9185 -2.7611 0.7276
1.9744 1.5306 8.3010
Mn Ta Zr
1 1 2
Direct
0.5000 0.5000 0.2500 Mn
0.5000 0.5000 0.7500 Ta
0.0000 0.0000 0.0334 Zr
0.0000 0.0000 0.4666 Zr
```

Summary:
DFT total energy   -37.40 eV per cell
Formation energy   179 meV/atom
Space group   Cmmm (65)